{
  "formula": "Zr2MnF",
  "functional": "PBE with a Hubbard U",
  "state": "relaxed",
  "lattice_angstrom": [[1.8665, -3.1331, 2.6673], [-2.4992, -3.4335, 1.5427], [0.6915, -4.1807, -1.5679]],
  "species": ["Mn", "Zr", "Zr", "F"],
  "fractional_positions": [[0.5000, 0.5000, 0.5000], [0.2500, 0.2500, 0.2500], [0.7500, 0.7500, 0.7500], [0.0000, 0.0000, 0.0000]],
  "e_above_lowest_polymorph_ev_per_atom": 0.470,
  "rho_g_cm3": 6.527,
  "spacegroup": "Fm-3m",
  "final_energy_ev_per_atom": -6.2282
}